10
Lattice="8.0434 0.0000 0.0000 0.0000 8.0434 0.0000 0.0000 0.0000 4.5084" Properties=species:S:1:pos:R:3 comment="GGA-PBE Ca2CdSb2, relaxed" e_form_raw_mev_per_atom=-628.1 total_magnetization_mub_per_atom=0.0000 dos_ef_per_ev_cell=3.44 pbc="T T T"
Sb 2.9632 6.9849 0.0000
Sb 6.9849 5.0803 0.0000
Sb 5.0803 1.0586 0.0000
Sb 1.0586 2.9632 0.0000
Ca 1.3782 5.3999 2.2542
Ca 5.3999 6.6652 2.2542
Ca 6.6652 2.6435 2.2542
Ca 2.6435 1.3782 2.2542
Cd 0.0000 0.0000 0.0000
Cd 4.0217 4.0217 0.0000